No. 1
# LaPW2Se | Alexandria | meta-GGA SCAN | PBEsol geometry
data_LaPW2Se
_space_group_name_H-M_alt 'P 4/m m m'
_space_group_IT_number 123
_space_group_name_Hall '-P 4 2'
_cell_length_a 4.5405
_cell_length_b 4.5405
_cell_length_c 5.6218
_cell_angle_alpha 90.00
_cell_angle_beta 90.00
_cell_angle_gamma 90.00
loop_
_atom_site_label
_atom_site_type_symbol
_atom_site_fract_x
_atom_site_fract_y
_atom_site_fract_z
La1 La 0.0000 0.0000 0.0000
P1 P 0.5000 0.5000 0.0000
W1 W 0.0000 0.5000 0.5000
Se1 Se 0.0000 0.0000 0.5000
# Raw formation energy ... 1.108 eV per atom
# Density ... 8833 kg/m3
# N(E_F) ... 0.85 states/eV per atom
# M_tot ... 0.00 μB/f.u.

***

No. 2
# LaSiP | Alexandria | meta-GGA SCAN | PBEsol geometry
data_LaSiP
_space_group_name_H-M_alt 'F -4 3 m'
_space_group_IT_number 216
_space_group_name_Hall 'F -4 2 3'
_cell_length_a 6.5925
_cell_length_b 6.5925
_cell_length_c 6.5925
_cell_angle_alpha 90.00
_cell_angle_beta 90.00
_cell_angle_gamma 90.00
loop_
_atom_site_label
_atom_site_type_symbol
_atom_site_fract_x
_atom_site_fract_y
_atom_site_fract_z
La1 La 0.0000 0.0000 0.0000
Si1 Si 0.0000 0.0000 0.5000
P1 P 0.2500 0.2500 0.7500
# Raw formation energy ... -0.291 eV per atom
# Density ... 4589 kg/m3
# N(E_F) ... 0.51 states/eV per atom
# M_tot ... 0.00 μB/f.u.

***

No. 3
# LaSiP2 | Alexandria | meta-GGA SCAN | PBEsol geometry
data_LaSiP2
_space_group_name_H-M_alt 'I -4 2 d'
_space_group_IT_number 122
_space_group_name_Hall 'I -4 2bw'
_cell_length_a 6.8612
_cell_length_b 6.8612
_cell_length_c 6.9854
_cell_angle_alpha 90.00
_cell_angle_beta 90.00
_cell_angle_gamma 90.00
loop_
_atom_site_label
_atom_site_type_symbol
_atom_site_fract_x
_atom_site_fract_y
_atom_site_fract_z
La1 La 0.0000 0.0000 0.0000
Si1 Si 0.0000 0.0000 0.5000
P1 P 0.1681 0.7500 0.6250
# Raw formation energy ... -0.758 eV per atom
# Density ... 4624 kg/m3
# N(E_F) ... 0.36 states/eV per atom
# M_tot ... 0.00 μB/f.u.

***

No. 4
# LaSiP2 | Alexandria | meta-GGA SCAN | PBEsol geometry
data_LaSiP2
_space_group_name_H-M_alt 'I m m m'
_space_group_IT_number 71
_space_group_name_Hall '-I 2 2'
_cell_length_a 3.4553
_cell_length_b 5.4212
_cell_length_c 8.2997
_cell_angle_alpha 90.00
_cell_angle_beta 90.00
_cell_angle_gamma 90.00
loop_
_atom_site_label
_atom_site_type_symbol
_atom_site_fract_x
_atom_site_fract_y
_atom_site_fract_z
La1 La 0.0000 0.0000 0.0000
Si1 Si 0.0000 0.0000 0.5000
P1 P 0.0000 0.5000 0.1901
# Raw formation energy ... -0.492 eV per atom
# Density ... 4890 kg/m3
# N(E_F) ... 0.60 states/eV per atom
# M_tot ... 0.00 μB/f.u.

***

No. 5
# La2SiTeP | Alexandria | meta-GGA SCAN | PBEsol geometry
data_La2SiTeP
_space_group_name_H-M_alt 'P 4/m m m'
_space_group_IT_number 123
_space_group_name_Hall '-P 4 2'
_cell_length_a 5.5137
_cell_length_b 5.5137
_cell_length_c 5.0447
_cell_angle_alpha 90.00
_cell_angle_beta 90.00
_cell_angle_gamma 90.00
loop_
_atom_site_label
_atom_site_type_symbol
_atom_site_fract_x
_atom_site_fract_y
_atom_site_fract_z
La1 La 0.0000 0.5000 0.0000
Si1 Si 0.0000 0.0000 0.5000
Te1 Te 0.5000 0.5000 0.5000
P1 P 0.5000 0.5000 0.0000
# Raw formation energy ... -0.340 eV per atom
# Density ... 5029 kg/m3
# N(E_F) ... 0.66 states/eV per atom
# M_tot ... 0.00 μB/f.u.

***

No. 6
# SrLa2P | Alexandria | meta-GGA SCAN | PBEsol geometry
data_SrLa2P
_space_group_name_H-M_alt 'R -3 m'
_space_group_IT_number 166
_space_group_name_Hall '-R 3 2"'
_cell_length_a 4.0657
_cell_length_b 4.0657
_cell_length_c 31.3736
_cell_angle_alpha 90.00
_cell_angle_beta 90.00
_cell_angle_gamma 120.00
loop_
_atom_site_label
_atom_site_type_symbol
_atom_site_fract_x
_atom_site_fract_y
_atom_site_fract_z
Sr1 Sr 0.0000 0.0000 0.0000
La1 La 0.0000 0.0000 0.2190
P1 P 0.0000 0.0000 0.5000
# VASP energy ... -30.536 eV/atom
# Density ... 4397 kg/m3
# N(E_F) ... 0.94 states/eV per atom
# M_tot ... 0.81 μB/f.u.

***

No. 7
# SrLa3P | Alexandria | meta-GGA SCAN | PBEsol geometry
data_SrLa3P
_space_group_name_H-M_alt 'P m -3 m'
_space_group_IT_number 221
_space_group_name_Hall '-P 4 2 3'
_cell_length_a 5.7252
_cell_length_b 5.7252
_cell_length_c 5.7252
_cell_angle_alpha 90.00
_cell_angle_beta 90.00
_cell_angle_gamma 90.00
loop_
_atom_site_label
_atom_site_type_symbol
_atom_site_fract_x
_atom_site_fract_y
_atom_site_fract_z
Sr1 Sr 0.0000 0.0000 0.0000
La1 La 0.0000 0.5000 0.5000
P1 P 0.5000 0.5000 0.5000
# VASP energy ... -32.944 eV/atom
# Density ... 4737 kg/m3
# N(E_F) ... 1.70 states/eV per atom
# M_tot ... 0.00 μB/f.u.

***

No. 8
# LaTaP2 | Alexandria | meta-GGA SCAN | PBEsol geometry
data_LaTaP2
_space_group_name_H-M_alt 'F -4 3 m'
_space_group_IT_number 216
_space_group_name_Hall 'F -4 2 3'
_cell_length_a 6.6109
_cell_length_b 6.6109
_cell_length_c 6.6109
_cell_angle_alpha 90.00
_cell_angle_beta 90.00
_cell_angle_gamma 90.00
loop_
_atom_site_label
_atom_site_type_symbol
_atom_site_fract_x
_atom_site_fract_y
_atom_site_fract_z
La1 La 0.0000 0.0000 0.0000
Ta1 Ta 0.2500 0.2500 0.2500
P1 P 0.0000 0.0000 0.5000
P2 P 0.2500 0.2500 0.7500
# VASP energy ... -32.241 eV/atom
# Density ... 8777 kg/m3
# N(E_F) ... 0.63 states/eV per atom
# M_tot ... 1.24 μB/f.u.

***

No. 9
# La2TaP | Alexandria | meta-GGA SCAN | PBEsol geometry
data_La2TaP
_space_group_name_H-M_alt 'P 4/m m m'
_space_group_IT_number 123
_space_group_name_Hall '-P 4 2'
_cell_length_a 3.7736
_cell_length_b 3.7736
_cell_length_c 6.7852
_cell_angle_alpha 90.00
_cell_angle_beta 90.00
_cell_angle_gamma 90.00
loop_
_atom_site_label
_atom_site_type_symbol
_atom_site_fract_x
_atom_site_fract_y
_atom_site_fract_z
La1 La 0.0000 0.0000 0.2232
Ta1 Ta 0.5000 0.5000 0.5000
P1 P 0.5000 0.5000 0.0000
# VASP energy ... -40.971 eV/atom
# Density ... 8416 kg/m3
# N(E_F) ... 0.77 states/eV per atom
# M_tot ... 3.02 μB/f.u.

***

No. 10
# La2TaP | Alexandria | meta-GGA SCAN | PBEsol geometry
data_La2TaP
_space_group_name_H-M_alt 'R -3 m'
_space_group_IT_number 166
_space_group_name_Hall '-R 3 2"'
_cell_length_a 3.6790
_cell_length_b 3.6790
_cell_length_c 26.6269
_cell_angle_alpha 90.00
_cell_angle_beta 90.00
_cell_angle_gamma 120.00
loop_
_atom_site_label
_atom_site_type_symbol
_atom_site_fract_x
_atom_site_fract_y
_atom_site_fract_z
La1 La 0.0000 0.0000 0.2380
Ta1 Ta 0.0000 0.0000 0.0000
P1 P 0.0000 0.0000 0.5000
# VASP energy ... -40.880 eV/atom
# Density ... 7817 kg/m3
# N(E_F) ... 0.57 states/eV per atom
# M_tot ... 1.97 μB/f.u.

***

No. 11
# LaTaP2 | Alexandria | meta-GGA SCAN | PBEsol geometry
data_LaTaP2
_space_group_name_H-M_alt 'I m m m'
_space_group_IT_number 71
_space_group_name_Hall '-I 2 2'
_cell_length_a 3.8211
_cell_length_b 5.5665
_cell_length_c 7.6045
_cell_angle_alpha 90.00
_cell_angle_beta 90.00
_cell_angle_gamma 90.00
loop_
_atom_site_label
_atom_site_type_symbol
_atom_site_fract_x
_atom_site_fract_y
_atom_site_fract_z
La1 La 0.0000 0.0000 0.0000
Ta1 Ta 0.0000 0.0000 0.5000
P1 P 0.0000 0.5000 0.2129
# VASP energy ... -33.248 eV/atom
# Density ... 7839 kg/m3
# N(E_F) ... 0.63 states/eV per atom
# M_tot ... 0.00 μB/f.u.

***

No. 12
# LaTaP2 | Alexandria | meta-GGA SCAN | PBEsol geometry
data_LaTaP2
_space_group_name_H-M_alt 'I -4 2 d'
_space_group_IT_number 122
_space_group_name_Hall 'I -4 2bw'
_cell_length_a 5.9915
_cell_length_b 5.9915
_cell_length_c 11.9561
_cell_angle_alpha 90.00
_cell_angle_beta 90.00
_cell_angle_gamma 90.00
loop_
_atom_site_label
_atom_site_type_symbol
_atom_site_fract_x
_atom_site_fract_y
_atom_site_fract_z
La1 La 0.0000 0.0000 0.0000
Ta1 Ta 0.0000 0.0000 0.5000
P1 P 0.1828 0.2500 0.6250
# VASP energy ... -33.222 eV/atom
# Density ... 5909 kg/m3
# N(E_F) ... 0.87 states/eV per atom
# M_tot ... 0.00 μB/f.u.

***

No. 13
# LaTcP | Alexandria | meta-GGA SCAN | PBEsol geometry
data_LaTcP
_space_group_name_H-M_alt 'I 4 m m'
_space_group_IT_number 107
_space_group_name_Hall 'I 4 -2'
_cell_length_a 3.1568
_cell_length_b 3.1568
_cell_length_c 10.9380
_cell_angle_alpha 90.00
_cell_angle_beta 90.00
_cell_angle_gamma 90.00
loop_
_atom_site_label
_atom_site_type_symbol
_atom_site_fract_x
_atom_site_fract_y
_atom_site_fract_z
La1 La 0.0000 0.0000 0.0000
Tc1 Tc 0.0000 0.0000 0.2926
P1 P 0.0000 0.0000 0.7043
# VASP energy ... -30.113 eV/atom
# Density ... 8162 kg/m3
# N(E_F) ... 0.79 states/eV per atom
# M_tot ... 0.00 μB/f.u.

***

No. 14
# La2TcP | Alexandria | meta-GGA SCAN | PBEsol geometry
data_La2TcP
_space_group_name_H-M_alt 'R 3 m'
_space_group_IT_number 160
_space_group_name_Hall 'R 3 -2"'
_cell_length_a 4.1360
_cell_length_b 4.1360
_cell_length_c 21.9336
_cell_angle_alpha 90.00
_cell_angle_beta 90.00
_cell_angle_gamma 120.00
loop_
_atom_site_label
_atom_site_type_symbol
_atom_site_fract_x
_atom_site_fract_y
_atom_site_fract_z
La1 La 0.0000 0.0000 0.0000
La2 La 0.0000 0.0000 0.1691
Tc1 Tc 0.0000 0.0000 0.7515
P1 P 0.0000 0.0000 0.4176
# VASP energy ... -33.586 eV/atom
# Density ... 6236 kg/m3
# N(E_F) ... 0.83 states/eV per atom
# M_tot ... 0.00 μB/f.u.